## TlTe4Pb3 (PBE-GGA)

Data for a relaxed structure of TlTe4Pb3.

abc: 8.025 8.025 4.598
angles: 90.00 90.00 109.43
Atoms (fractional coordinates):
Tl 0.000 0.000 0.000
Te 0.252 0.748 0.000
Te 0.253 0.253 0.500
Te 0.747 0.747 0.500
Te 0.748 0.252 0.000
Pb 0.000 0.500 0.500
Pb 0.500 0.000 0.500
Pb 0.500 0.500 0.000

Its crystal system is orthorhombic. The raw formation energy comes out at -0.33 eV per atom. The total energy is -3.590 eV/atom.